Record 1
The following is a DFT calculation (GGA-PBEsol) of a relaxed structure of BaIn2Cl.

Cell and atoms, written as POSCAR:
```
BaIn2Cl
1.0
-2.7076 2.7076 3.8364
2.7076 -2.7076 3.8364
2.7076 2.7076 -3.8364
Ba In Cl
1 2 1
Cartesian
0.0000 0.0000 0.0000
0.0000 0.0000 3.8364
0.0000 2.7076 1.9182
2.7076 0.0000 1.9182
```

**Calculated total energy**: -3.239 eV per atom
**E_form (uncorrected)**: -0.7089 eV per atom
**Space group**: I-4m2, No. 119
**Magnetic moment**: 0.001 μB per cell



Record 2
The following is a DFT calculation (GGA-PBEsol) of a relaxed structure of ErInNi4.

Cell and atoms, written as POSCAR:
```
ErInNi4
1.0
0.0000 3.4531 3.4531
3.4531 0.0000 3.4531
3.4531 3.4531 0.0000
Er In Ni
1 1 4
Cartesian
0.0000 0.0000 0.0000
1.7266 1.7266 1.7266
4.3111 2.5952 2.5952
2.5952 4.3111 2.5952
2.5952 2.5952 4.3111
4.3111 4.3111 4.3111
```

**Energy of formation**: -436 meV per atom
**Calculated total energy**: -5.859 eV per atom
**Space group**: F-43m, No. 216
**Magnetic moment**: 0.000 μB per cell



Record 3
The following is a DFT calculation (GGA-PBEsol) of a relaxed structure of ScTa2Mo.

Cell and atoms, written as POSCAR:
```
ScTa2Mo
1.0
3.2411 0.0000 0.0000
0.0000 4.6154 0.0000
0.0000 0.0000 4.6785
Sc Ta Mo
1 2 1
Cartesian
0.0000 0.0000 0.0000
0.0000 2.3077 2.3392
1.6205 0.0000 2.3392
1.6205 2.3077 0.0000
```

**Energy of formation**: 192 meV per atom
**Calculated total energy**: -10.677 eV per atom
**Space group**: Pmmm, No. 47
**Magnetic moment**: 0.000 μB per cell



Record 4
The following is a DFT calculation (GGA-PBEsol) of a relaxed structure of ReRuSe2.

Cell and atoms, written as POSCAR:
```
ReRuSe2
1.0
-1.4889 2.1822 4.7079
1.4889 -2.1822 4.7079
1.4889 2.1822 -4.7079
Re Ru Se
1 1 2
Cartesian
0.0000 0.0000 0.0000
0.0000 2.1822 2.1534
1.4889 0.0000 2.0988
0.0000 0.0000 4.7202
```

**Calculated total energy**: -7.341 eV per atom
**E_form (uncorrected)**: 0.4606 eV per atom
**Space group**: Imm2, No. 44
**Magnetic moment**: 0.001 μB per cell



Record 5
The following is a DFT calculation (GGA-PBEsol) of a relaxed structure of SiPH18C6INCl.

Cell and atoms, written as POSCAR:
```
SiPH18C6INCl
1.0
10.4748 -7.5035 0.0000
10.4748 7.5035 0.0000
-4.7937 0.0000 8.8325
Si P H C I N Cl
4 4 72 24 4 4 4
Cartesian
0.5877 2.5772 6.0647
8.0780 4.9297 4.4163
2.9846 -2.5772 1.6484
10.4748 -4.9297 0.0000
7.6489 2.1228 3.0867
5.2520 -2.1228 7.5030
14.8022 2.1183 1.2766
12.4054 -2.1183 5.6928
-3.7516 0.3634 8.3869
0.7920 1.6608 3.7591
8.3295 6.5066 2.5074
-1.3548 -0.3634 3.9707
7.0591 6.4416 6.0913
0.4026 2.5566 8.5364
6.0911 4.9486 5.8998
-0.2669 1.0575 7.8235
0.4090 0.3717 4.9332
2.0682 1.0075 4.8255
9.9157 5.8592 3.0151
2.8059 -0.3717 0.5170
1.4965 1.2527 7.9770
5.4393 1.5906 2.2865
11.0515 5.0516 1.3030
-1.6048 -1.6608 8.1753
7.8400 2.1905 0.6854
2.1299 -1.0575 3.4073
5.6050 1.3845 4.0687
9.6654 5.0461 6.2588
4.4651 -1.0075 0.4092
11.6762 3.7108 0.3205
9.4364 2.2443 1.4908
8.7707 3.5060 6.3339
3.8933 -1.2527 3.5607
6.3065 0.1518 2.9394
11.4658 3.5101 2.0962
10.1541 3.7058 5.2004
3.9097 -0.1518 7.3557
8.5358 0.6826 1.4051
2.7994 -2.5566 4.1201
3.0425 -1.5906 6.7028
8.1579 1.4655 5.3229
9.6749 1.7519 4.3646
3.2081 -1.3845 8.4849
6.1389 -0.6826 5.8214
12.6306 1.7589 0.2606
8.6887 0.2744 4.0685
5.4431 -2.1905 5.1017
6.2918 -0.2744 8.4848
10.3789 2.2719 7.7434
12.6449 1.4626 2.0536
10.5548 -1.4655 0.9066
7.0396 -2.2443 5.9070
13.4083 0.2754 0.9217
11.9216 2.1990 8.6467
11.0114 -0.2754 5.3380
7.2780 -1.7519 8.7809
10.9342 0.6984 8.4311
15.0859 1.3521 3.5164
10.2337 -1.7589 4.6769
10.2480 -1.4626 6.4699
16.6733 1.5632 2.6902
8.4880 -4.9486 1.4836
13.3311 -0.6984 4.0149
15.6485 0.1331 2.2979
9.2793 -3.7108 4.7367
13.2516 -0.1331 6.7142
11.1676 -3.5060 1.9176
18.8544 1.2429 0.2678
9.0689 -3.5101 6.5124
12.7757 -2.2719 3.3271
12.5509 -3.7058 0.7841
5.9327 -6.5066 6.9236
8.6546 -5.0516 5.7193
12.6890 -1.3521 7.9327
9.4559 -6.4416 1.6751
14.3185 -2.1990 4.2304
7.5188 -5.8592 7.4314
12.0622 -5.0461 1.8425
14.2764 -1.5632 7.1065
16.4576 -1.2429 4.6841
6.6678 5.7171 5.3557
1.0029 1.2872 4.7749
8.9420 6.2259 3.3802
0.5580 1.7886 7.7584
3.3998 -1.2872 0.3587
6.0941 1.2251 3.0923
9.2811 4.2066 5.6515
11.7679 4.2105 1.2993
8.4387 1.7775 1.5136
2.9548 -1.7886 3.3421
8.6504 1.3460 4.3431
3.6972 -1.2251 7.5086
6.0418 -1.7775 5.9298
13.2016 1.3466 1.1085
6.2535 -1.3460 8.7594
10.8996 1.7912 8.5870
15.6398 1.2029 2.5737
10.8047 -1.3466 5.5247
9.0647 -5.7171 0.9395
13.2964 -1.7912 4.1707
11.6780 -4.2066 1.2352
9.3710 -4.2105 5.7155
13.2429 -1.2029 6.9899
6.5452 -6.2259 7.7965
5.9879 4.5853 1.8757
3.8517 2.9306 6.4565
6.2486 -2.9306 2.0402
3.5910 -4.5853 6.2919
7.4263 3.7095 3.3289
14.7218 3.7007 1.6164
5.0294 -3.7095 7.7451
12.3249 -3.7007 6.0327
6.2055 1.8646 6.9887
12.3387 1.8562 4.6052
8.6023 -1.8646 2.5725
14.7356 -1.8562 0.1889
```

**Calculated total energy**: -5.105 eV per atom
**Space group**: Cc, No. 9
**Magnetic moment**: 0.002 μB per cell



Record 6
The following is a DFT calculation (GGA-PBEsol) of a relaxed structure of ScAl2Hg.

Cell and atoms, written as POSCAR:
```
ScAl2Hg
1.0
4.1921 0.0000 0.0000
0.0000 4.1921 0.0000
0.0000 0.0000 4.0904
Sc Al Hg
1 2 1
Cartesian
0.0000 0.0000 0.0000
0.0000 2.0961 2.0452
2.0961 0.0000 2.0452
2.0961 2.0961 0.0000
```

**Energy of formation**: -420 meV per atom
**Calculated total energy**: -4.258 eV per atom
**Space group**: P4/mmm, No. 123
**Magnetic moment**: 0.000 μB per cell